The following is a DFT calculation (PBE) of crystalline CeInSnSb at its relaxed geometry.

Summary:
raw total energy	-4.754	eV per atom
ΔE_f (raw)	-555	meV per atom

a b c (Å): 4.4973 4.7381 4.9163
angles (deg): 90.00 90.00 90.00
Space group Pmmm (No. 47)
Inequivalent atoms, fractional coordinates:
Ce 0.0000 0.0000 0.0000 (multiplicity 1)
In 0.0000 0.5000 0.5000 (multiplicity 1)
Sn 0.5000 0.0000 0.5000 (multiplicity 1)
Sb 0.5000 0.5000 0.0000 (multiplicity 1)